Here is a relaxed AlZnGe2S crystal from Alexandria. Energies are from GGA-PBE.

The structure in POSCAR format:
```
AlZnGe2S
1.0
-4.2968 0.8593 2.2735
-2.3069 -2.0295 -3.5927
0.3230 -4.3749 2.2640
S Al Zn Ge
1 1 1 2
Cartesian
-3.1403 -2.7726 0.4724
0.0000 0.0000 0.0000
-1.1534 -1.0148 -1.7964
0.1615 -2.1875 1.1320
-2.1484 0.4296 1.1368
```

Computed properties:
* V: 115 Å³/cell
* space group: P4/mmm, No. 123
* calculated total energy: -3.091 eV/atom
* energy relative to the elements, uncorrected: 0.585 eV per atom
* crystal system: tetragonal



Here is a relaxed AlZnGe2S crystal from Alexandria. Energies are from GGA-PBE.

The structure in POSCAR format:
```
AlZnGe2S
1.0
-1.6818 3.0236 3.3523
-0.2718 -3.6056 3.1157
4.5061 0.9070 1.4426
Zn S Ge Al
1 1 2 1
Cartesian
0.0000 0.0000 0.0000
1.2762 0.1625 3.9553
2.2530 0.4535 0.7213
-0.8409 1.5118 1.6761
-0.1359 -1.8028 1.5579
```

Computed properties:
* V: 111 Å³/cell
* space group: P4/mmm, No. 123
* calculated total energy: -3.091 eV/atom
* energy relative to the elements, uncorrected: 0.584 eV per atom
* crystal system: tetragonal



Here is a relaxed Al3GeSb crystal from Alexandria. Energies are from GGA-PBE.

The structure in POSCAR format:
```
Al3GeSb
1.0
-3.9377 -1.5794 -3.0708
-1.8791 -2.9274 3.9152
-2.8972 4.0454 1.6343
Sb Al Ge
1 3 1
Cartesian
0.0000 0.0000 0.0000
-1.4486 2.0227 0.8171
-1.9688 -0.7897 -1.5354
-0.9396 -1.4637 1.9576
-4.3570 -0.2307 1.2393
```

Computed properties:
* V: 144 Å³/cell
* space group: Pm-3m, No. 221
* calculated total energy: -2.994 eV/atom
* E above lowest polymorph: 560.5 meV/atom
* energy relative to the elements, uncorrected: 0.999 eV per atom
* crystal system: cubic



Here is a relaxed AlGeSb crystal from Alexandria. Energies are from GGA-PBE.

The structure in POSCAR format:
```
AlGeSb
1.0
-1.5731 2.7414 2.5281
-3.9946 0.1347 0.6377
-4.5961 -3.5191 10.7394
Sb Ge Al
2 2 2
Cartesian
-3.3547 -1.4266 6.2642
-6.8476 -1.0076 10.1605
-3.6405 0.5002 3.9734
-1.9654 0.5843 1.7118
-5.3611 0.5604 6.0943
-4.8411 -2.9948 10.3303
```

Computed properties:
* V: 141 Å³/cell
* space group: C2/m, No. 12
* calculated total energy: -4.004 eV/atom
* energy relative to the elements, uncorrected: 0.157 eV per atom
* crystal system: monoclinic